Below is a relaxed PdSe2Br crystal, with properties calculated at the PBE level.

Formation energy (no corrections) = 49 kJ/mol of atoms
Spin magnetization = 0.0 μB/f.u.

```
data_PdSe2Br
_chemical_formula_sum 'Pd1 Se2 Br1'
_cell_length_a 5.092
_cell_length_b 5.092
_cell_length_c 3.052
_cell_angle_alpha 90.00
_cell_angle_beta 90.00
_cell_angle_gamma 90.00
_symmetry_space_group_name_H-M 'P 4/m m m'
_symmetry_Int_Tables_number 123
_symmetry_space_group_name_Hall '-P 4 2'
loop_
_atom_site_label
_atom_site_fract_x
_atom_site_fract_y
_atom_site_fract_z
Pd1 0.000 0.000 0.000
Se1 0.000 0.500 0.500
Br1 0.500 0.500 0.000
```


Below is a relaxed PdSe2Br crystal, with properties calculated at the PBE level.

Formation energy (no corrections) = 14 kJ/mol of atoms
Spin magnetization = 0.0 μB/f.u.

```
data_PdSe2Br
_chemical_formula_sum 'Pd3 Se6 Br3'
_cell_length_a 4.1182
_cell_length_b 4.1182
_cell_length_c 20.0858
_cell_angle_alpha 90.00
_cell_angle_beta 90.00
_cell_angle_gamma 120.00
_symmetry_space_group_name_H-M 'R 3 m'
_symmetry_Int_Tables_number 160
_symmetry_space_group_name_Hall 'R 3 -2"'
loop_
_atom_site_label
_atom_site_fract_x
_atom_site_fract_y
_atom_site_fract_z
Pd1 0.0000 0.0000 0.0000
Se1 0.0000 0.0000 0.1259
Se2 0.0000 0.0000 0.7315
Br1 0.0000 0.0000 0.5738
```


Below is a relaxed Pd2Se2Br crystal, with properties calculated at the PBE level.

Formation energy (no corrections) = -23 kJ/mol of atoms
Spin magnetization = 0.0 μB/f.u.

```
data_Pd2Se2Br
_chemical_formula_sum 'Pd4 Se4 Br2'
_cell_length_a 5.958
_cell_length_b 6.254
_cell_length_c 6.950
_cell_angle_alpha 63.36
_cell_angle_beta 78.55
_cell_angle_gamma 89.95
_symmetry_space_group_name_H-M 'P -1'
_symmetry_Int_Tables_number 2
loop_
_symmetry_equiv_pos_as_xyz
'x,y,z'
'-x,-y,-z'
loop_
_atom_site_label
_atom_site_fract_x
_atom_site_fract_y
_atom_site_fract_z
Pd1 0.031 0.339 0.386
Pd2 0.468 0.725 0.614
Se1 0.242 0.016 0.333
Se2 0.259 0.349 0.667
Br1 0.250 0.706 0.001
```


Below is a relaxed PdSe2Br crystal, with properties calculated at the PBE level.

Formation energy (no corrections) = -18 kJ/mol of atoms
Spin magnetization = 0.0 μB/f.u.

```
data_PdSe2Br
_chemical_formula_sum 'Pd1 Se2 Br1'
_cell_length_a 3.8970
_cell_length_b 3.8970
_cell_length_c 7.5632
_cell_angle_alpha 90.00
_cell_angle_beta 90.00
_cell_angle_gamma 120.00
_symmetry_space_group_name_H-M 'P 3 m 1'
_symmetry_Int_Tables_number 156
loop_
_symmetry_equiv_pos_as_xyz
'x,y,z'
'-y,x-y,z'
'-x+y,-x,z'
'-y,-x,z'
'-x+y,y,z'
'x,x-y,z'
loop_
_atom_site_label
_atom_site_fract_x
_atom_site_fract_y
_atom_site_fract_z
Pd1 0.0000 0.0000 0.0000
Se1 0.3333 0.6667 0.8415
Se2 0.6667 0.3333 0.1671
Br1 0.3333 0.6667 0.5122
```


Below is a relaxed PdSeBr crystal, with properties calculated at the PBE level.

Formation energy (no corrections) = -32 kJ/mol of atoms
Spin magnetization = 0.0 μB/f.u.

```
data_PdSeBr
_chemical_formula_sum 'Pd2 Se2 Br2'
_cell_length_a 3.653
_cell_length_b 5.383
_cell_length_c 8.826
_cell_angle_alpha 90.00
_cell_angle_beta 101.46
_cell_angle_gamma 90.00
_symmetry_space_group_name_H-M 'P 1 21/m 1'
_symmetry_Int_Tables_number 11
loop_
_symmetry_equiv_pos_as_xyz
'x,y,z'
'-x,-y,-z'
'-x,y+1/2,-z'
'x,-y+1/2,z'
loop_
_atom_site_label
_atom_site_fract_x
_atom_site_fract_y
_atom_site_fract_z
Pd1 0.197 0.250 0.391
Se1 0.209 0.750 0.415
Br1 0.402 0.750 0.818
```


Below is a relaxed PdSeBr crystal, with properties calculated at the PBE level.

Formation energy (no corrections) = -29 kJ/mol of atoms
Spin magnetization = 0.0 μB/f.u.

```
data_PdSeBr
_chemical_formula_sum 'Pd4 Se4 Br4'
_cell_length_a 14.852
_cell_length_b 7.309
_cell_length_c 3.575
_cell_angle_alpha 90.00
_cell_angle_beta 103.84
_cell_angle_gamma 90.00
_symmetry_space_group_name_H-M 'C 1 2 1'
_symmetry_Int_Tables_number 5
loop_
_symmetry_equiv_pos_as_xyz
'x,y,z'
'-x,y,-z'
'x+1/2,y+1/2,z'
'-x+1/2,y+1/2,-z'
loop_
_atom_site_label
_atom_site_fract_x
_atom_site_fract_y
_atom_site_fract_z
Pd1 0.111 0.000 0.111
Se1 0.087 0.781 0.586
Br1 0.151 0.229 0.650
```


Below is a relaxed PdSe2Br crystal, with properties calculated at the PBE level.

Formation energy (no corrections) = -16 kJ/mol of atoms
Spin magnetization = 0.0 μB/f.u.

```
data_PdSe2Br
_chemical_formula_sum 'Pd4 Se8 Br4'
_cell_length_a 6.365
_cell_length_b 11.553
_cell_length_c 6.021
_cell_angle_alpha 90.00
_cell_angle_beta 90.00
_cell_angle_gamma 90.00
_symmetry_space_group_name_H-M 'P n a 21'
_symmetry_Int_Tables_number 33
loop_
_symmetry_equiv_pos_as_xyz
'x,y,z'
'-x,-y,z+1/2'
'-x+1/2,y+1/2,z+1/2'
'x+1/2,-y+1/2,z'
loop_
_atom_site_label
_atom_site_fract_x
_atom_site_fract_y
_atom_site_fract_z
Pd1 0.001 0.129 0.000
Se1 0.007 0.211 0.373
Se2 0.105 0.062 0.623
Br1 0.051 0.342 0.909
```


Below is a relaxed PdSe2Br crystal, with properties calculated at the PBE level.

Formation energy (no corrections) = -16 kJ/mol of atoms
Spin magnetization = 0.0 μB/f.u.

```
data_PdSe2Br
_chemical_formula_sum 'Pd16 Se32 Br16'
_cell_length_a 10.714
_cell_length_b 10.543
_cell_length_c 15.944
_cell_angle_alpha 90.00
_cell_angle_beta 104.02
_cell_angle_gamma 90.00
_symmetry_space_group_name_H-M 'C 1 2/c 1'
_symmetry_Int_Tables_number 15
loop_
_symmetry_equiv_pos_as_xyz
'x,y,z'
'-x,-y,-z'
'-x,y,-z+1/2'
'x,-y,z+1/2'
'x+1/2,y+1/2,z'
'-x+1/2,-y+1/2,-z'
'-x+1/2,y+1/2,-z+1/2'
'x+1/2,-y+1/2,z+1/2'
loop_
_atom_site_label
_atom_site_fract_x
_atom_site_fract_y
_atom_site_fract_z
Pd1 0.082 0.029 0.142
Pd2 0.162 0.284 0.353
Se1 0.000 0.151 0.250
Se2 0.000 0.473 0.250
Se3 0.027 0.208 0.452
Se4 0.167 0.162 0.723
Se5 0.192 0.075 0.540
Br1 0.060 0.382 0.873
Br2 0.243 0.410 0.132
```


Below is a relaxed PdSe2Br crystal, with properties calculated at the PBE level.

Formation energy (no corrections) = -16 kJ/mol of atoms
Spin magnetization = 0.0 μB/f.u.

```
data_PdSe2Br
_chemical_formula_sum 'Pd4 Se8 Br4'
_cell_length_a 7.442
_cell_length_b 4.950
_cell_length_c 13.134
_cell_angle_alpha 90.00
_cell_angle_beta 107.38
_cell_angle_gamma 90.00
_symmetry_space_group_name_H-M 'P 1 21/c 1'
_symmetry_Int_Tables_number 14
loop_
_symmetry_equiv_pos_as_xyz
'x,y,z'
'-x,-y,-z'
'-x,y+1/2,-z+1/2'
'x,-y+1/2,z+1/2'
loop_
_atom_site_label
_atom_site_fract_x
_atom_site_fract_y
_atom_site_fract_z
Pd1 0.103 0.024 0.386
Se1 0.109 0.178 0.035
Se2 0.386 0.624 0.024
Br1 0.189 0.710 0.253
```


Below is a relaxed PdSe2Br crystal, with properties calculated at the PBE level.

Formation energy (no corrections) = 20 kJ/mol of atoms
Spin magnetization = 0.0 μB/f.u.

```
data_PdSe2Br
_chemical_formula_sum 'Pd1 Se2 Br1'
_cell_length_a 3.4090
_cell_length_b 3.4090
_cell_length_c 9.5230
_cell_angle_alpha 90.00
_cell_angle_beta 90.00
_cell_angle_gamma 120.00
_symmetry_space_group_name_H-M 'P 3 m 1'
_symmetry_Int_Tables_number 156
loop_
_symmetry_equiv_pos_as_xyz
'x,y,z'
'-y,x-y,z'
'-x+y,-x,z'
'-y,-x,z'
'-x+y,y,z'
'x,x-y,z'
loop_
_atom_site_label
_atom_site_fract_x
_atom_site_fract_y
_atom_site_fract_z
Pd1 0.0000 0.0000 0.0000
Se1 0.0000 0.0000 0.2597
Se2 0.3333 0.6667 0.8421
Br1 0.6667 0.3333 0.6182
```


Below is a relaxed PdSe2Br crystal, with properties calculated at the PBE level.

Formation energy (no corrections) = -21 kJ/mol of atoms
Spin magnetization = 0.0 μB/f.u.

```
data_PdSe2Br
_chemical_formula_sum 'Pd2 Se4 Br2'
_cell_length_a 3.782
_cell_length_b 7.119
_cell_length_c 8.352
_cell_angle_alpha 66.52
_cell_angle_beta 84.97
_cell_angle_gamma 75.32
_symmetry_space_group_name_H-M 'P 1'
_symmetry_Int_Tables_number 1
loop_
_symmetry_equiv_pos_as_xyz
'x,y,z'
loop_
_atom_site_label
_atom_site_fract_x
_atom_site_fract_y
_atom_site_fract_z
Pd1 0.000 0.000 0.000
Pd2 0.299 0.527 0.699
Se1 0.381 0.231 0.033
Se2 0.620 0.764 0.975
Se3 0.683 0.780 0.681
Se4 0.916 0.286 0.692
Br1 0.079 0.742 0.324
Br2 0.275 0.222 0.323
```


Below is a relaxed PdSeBr crystal, with properties calculated at the PBE level.

Formation energy (no corrections) = -19 kJ/mol of atoms
Spin magnetization = 0.0 μB/f.u.

```
data_PdSeBr
_chemical_formula_sum 'Pd4 Se4 Br4'
_cell_length_a 7.007
_cell_length_b 7.171
_cell_length_c 6.534
_cell_angle_alpha 90.00
_cell_angle_beta 115.84
_cell_angle_gamma 90.00
_symmetry_space_group_name_H-M 'P 1 21/c 1'
_symmetry_Int_Tables_number 14
loop_
_symmetry_equiv_pos_as_xyz
'x,y,z'
'-x,-y,-z'
'-x,y+1/2,-z+1/2'
'x,-y+1/2,z+1/2'
loop_
_atom_site_label
_atom_site_fract_x
_atom_site_fract_y
_atom_site_fract_z
Pd1 0.215 0.131 0.449
Se1 0.035 0.683 0.888
Br1 0.434 0.080 0.220
```